No. 1
DFT (PBE) results for a relaxed structure of CrTe2Au.

Results
**Energy above the lowest structure with this stoichiometry**: 0.61 eV/f.u.
**Calculated density**: 8.99 g/cm3

Structure (CIF):
```
data_CrTe2Au
_space_group_name_H-M_alt 'P n m a'
_space_group_IT_number 62
_space_group_name_Hall '-P 2ac 2n'
_cell_length_a 7.6242
_cell_length_b 3.8221
_cell_length_c 12.7797
_cell_angle_alpha 90.00
_cell_angle_beta 90.00
_cell_angle_gamma 90.00
loop_
_atom_site_label
_atom_site_type_symbol
_atom_site_fract_x
_atom_site_fract_y
_atom_site_fract_z
Cr1 Cr 0.0358 0.2500 0.0570
Te1 Te 0.0730 0.2500 0.2587
Te2 Te 0.2312 0.2500 0.5405
Au1 Au 0.1820 0.2500 0.8492
```


No. 2
DFT (PBE) results for a relaxed structure of CrTe2Au.

Results
**Energy above the lowest structure with this stoichiometry**: 0.59 eV/f.u.
**Calculated density**: 7.63 g/cm3

Structure (CIF):
```
data_CrTe2Au
_space_group_name_H-M_alt 'C 1 2/c 1'
_space_group_IT_number 15
_space_group_name_Hall '-C 2yc'
_cell_length_a 13.9520
_cell_length_b 8.9258
_cell_length_c 15.4738
_cell_angle_alpha 90.00
_cell_angle_beta 114.42
_cell_angle_gamma 90.00
loop_
_atom_site_label
_atom_site_type_symbol
_atom_site_fract_x
_atom_site_fract_y
_atom_site_fract_z
Cr1 Cr 0.0241 0.1542 0.1015
Cr2 Cr 0.0752 0.3171 0.2887
Te1 Te 0.0000 0.0345 0.2500
Te2 Te 0.0000 0.4013 0.7500
Te3 Te 0.1028 0.3923 0.4625
Te4 Te 0.1274 0.0428 0.0062
Te5 Te 0.1896 0.3417 0.1943
Au1 Au 0.0256 0.3003 0.9291
Au2 Au 0.2087 0.2896 0.6393
```


No. 3
DFT (PBE) results for a relaxed structure of Cr3TeAu.

Results
**Energy above the lowest structure with this stoichiometry**: 0.00 eV/f.u.
**Calculated density**: 6.27 g/cm3

Structure (CIF):
```
data_Cr3TeAu
_space_group_name_H-M_alt 'P m -3 m'
_space_group_IT_number 221
_space_group_name_Hall '-P 4 2 3'
_cell_length_a 5.0299
_cell_length_b 5.0299
_cell_length_c 5.0299
_cell_angle_alpha 90.00
_cell_angle_beta 90.00
_cell_angle_gamma 90.00
loop_
_atom_site_label
_atom_site_type_symbol
_atom_site_fract_x
_atom_site_fract_y
_atom_site_fract_z
Cr1 Cr 0.0000 0.0000 0.5000
Te1 Te 0.5000 0.5000 0.5000
Au1 Au 0.0000 0.0000 0.0000
```


No. 4
DFT (PBE) results for a relaxed structure of CrTe2Au.

Results
**Energy above the lowest structure with this stoichiometry**: 0.81 eV/f.u.
**Calculated density**: 8.73 g/cm3

Structure (CIF):
```
data_CrTe2Au
_space_group_name_H-M_alt 'P -1'
_space_group_IT_number 2
_space_group_name_Hall '-P 1'
_cell_length_a 3.9492
_cell_length_b 7.0982
_cell_length_c 7.3442
_cell_angle_alpha 76.41
_cell_angle_beta 89.95
_cell_angle_gamma 73.90
loop_
_atom_site_label
_atom_site_type_symbol
_atom_site_fract_x
_atom_site_fract_y
_atom_site_fract_z
Cr1 Cr 0.0284 0.4425 0.1334
Te1 Te 0.1498 0.2026 0.5074
Te2 Te 0.3595 0.7820 0.9371
Au1 Au 0.4379 0.6226 0.3136
```


No. 5
DFT (PBE) results for a relaxed structure of CrTe2Au.

Results
**Energy above the lowest structure with this stoichiometry**: 0.65 eV/f.u.
**Calculated density**: 7.57 g/cm3

Structure (CIF):
```
data_CrTe2Au
_space_group_name_H-M_alt 'P 1 21/c 1'
_space_group_IT_number 14
_space_group_name_Hall '-P 2ybc'
_cell_length_a 7.9992
_cell_length_b 4.3178
_cell_length_c 14.0806
_cell_angle_alpha 90.00
_cell_angle_beta 114.54
_cell_angle_gamma 90.00
loop_
_atom_site_label
_atom_site_type_symbol
_atom_site_fract_x
_atom_site_fract_y
_atom_site_fract_z
Cr1 Cr 0.0405 0.2047 0.4741
Te1 Te 0.2634 0.1052 0.3884
Te2 Te 0.2775 0.5455 0.6175
Au1 Au 0.0505 0.2366 0.6812
```


No. 6
DFT (PBE) results for a relaxed structure of CrTe2Au.

Results
**Energy above the lowest structure with this stoichiometry**: 0.87 eV/f.u.
**Calculated density**: 8.74 g/cm3

Structure (CIF):
```
data_CrTe2Au
_space_group_name_H-M_alt 'R 3 m'
_space_group_IT_number 160
_space_group_name_Hall 'R 3 -2"'
_cell_length_a 3.9093
_cell_length_b 3.9093
_cell_length_c 21.7021
_cell_angle_alpha 90.00
_cell_angle_beta 90.00
_cell_angle_gamma 120.00
loop_
_atom_site_label
_atom_site_type_symbol
_atom_site_fract_x
_atom_site_fract_y
_atom_site_fract_z
Cr1 Cr 0.0000 0.0000 0.0000
Te1 Te 0.0000 0.0000 0.2583
Te2 Te 0.0000 0.0000 0.4129
Au1 Au 0.0000 0.0000 0.8366
```


No. 7
DFT (PBE) results for a relaxed structure of CrTe2Au.

Results
**Energy above the lowest structure with this stoichiometry**: 0.40 eV/f.u.
**Calculated density**: 7.27 g/cm3

Structure (CIF):
```
data_CrTe2Au
_space_group_name_H-M_alt 'P 1'
_space_group_IT_number 1
_space_group_name_Hall 'P 1'
_cell_length_a 3.8791
_cell_length_b 6.6324
_cell_length_c 8.9640
_cell_angle_alpha 87.42
_cell_angle_beta 89.94
_cell_angle_gamma 89.99
loop_
_atom_site_label
_atom_site_type_symbol
_atom_site_fract_x
_atom_site_fract_y
_atom_site_fract_z
Cr1 Cr 0.0000 0.0000 0.0000
Cr2 Cr 0.5002 0.0550 0.2796
Te1 Te 0.9996 0.2493 0.4373
Te2 Te 0.0009 0.7623 0.2530
Te3 Te 0.4998 0.2683 0.0161
Te4 Te 0.9961 0.7987 0.7540
Au1 Au 0.4976 0.0055 0.5919
Au2 Au 0.4993 0.6936 0.0071
```


No. 8
DFT (PBE) results for a relaxed structure of CrTeAu3.

Results
**Energy above the lowest structure with this stoichiometry**: 0.00 eV/f.u.
**Calculated density**: 8.72 g/cm3

Structure (CIF):
```
data_CrTeAu3
_space_group_name_H-M_alt 'P m -3 m'
_space_group_IT_number 221
_space_group_name_Hall '-P 4 2 3'
_cell_length_a 5.2751
_cell_length_b 5.2751
_cell_length_c 5.2751
_cell_angle_alpha 90.00
_cell_angle_beta 90.00
_cell_angle_gamma 90.00
loop_
_atom_site_label
_atom_site_type_symbol
_atom_site_fract_x
_atom_site_fract_y
_atom_site_fract_z
Cr1 Cr 0.0000 0.0000 0.0000
Te1 Te 0.5000 0.5000 0.5000
Au1 Au 0.0000 0.5000 0.5000
```


No. 9
DFT (PBE) results for a relaxed structure of CrTe2Au.

Results
**Energy above the lowest structure with this stoichiometry**: 0.44 eV/f.u.
**Calculated density**: 8.71 g/cm3

Structure (CIF):
```
data_CrTe2Au
_space_group_name_H-M_alt 'C 1 c 1'
_space_group_IT_number 9
_space_group_name_Hall 'C -2yc'
_cell_length_a 7.3534
_cell_length_b 8.4556
_cell_length_c 7.1916
_cell_angle_alpha 90.00
_cell_angle_beta 120.65
_cell_angle_gamma 90.00
loop_
_atom_site_label
_atom_site_type_symbol
_atom_site_fract_x
_atom_site_fract_y
_atom_site_fract_z
Cr1 Cr 0.0000 0.1248 0.0000
Te1 Te 0.2629 0.0960 0.4485
Te2 Te 0.3141 0.3460 0.0515
Au1 Au 0.0826 0.3748 0.5003
```


No. 10
DFT (PBE) results for a relaxed structure of CrTe2Au.

Results
**Energy above the lowest structure with this stoichiometry**: 0.42 eV/f.u.
**Calculated density**: 8.37 g/cm3

Structure (CIF):
```
data_CrTe2Au
_space_group_name_H-M_alt 'A m m 2'
_space_group_IT_number 38
_space_group_name_Hall 'A 2 -2'
_cell_length_a 4.9998
_cell_length_b 5.5593
_cell_length_c 7.1938
_cell_angle_alpha 90.00
_cell_angle_beta 90.00
_cell_angle_gamma 90.00
loop_
_atom_site_label
_atom_site_type_symbol
_atom_site_fract_x
_atom_site_fract_y
_atom_site_fract_z
Cr1 Cr 0.0000 0.0000 0.0000
Te1 Te 0.0000 0.0000 0.6068
Te2 Te 0.5000 0.0000 0.1792
Au1 Au 0.5000 0.0000 0.7908
```


No. 11
DFT (PBE) results for a relaxed structure of CrTeAu.

Results
**Energy above the lowest structure with this stoichiometry**: 0.06 eV/f.u.
**Calculated density**: 9.30 g/cm3

Structure (CIF):
```
data_CrTeAu
_space_group_name_H-M_alt 'P 3 m 1'
_space_group_IT_number 156
_space_group_name_Hall 'P 3 -2"'
_cell_length_a 3.7945
_cell_length_b 3.7945
_cell_length_c 5.3934
_cell_angle_alpha 90.00
_cell_angle_beta 90.00
_cell_angle_gamma 120.00
loop_
_atom_site_label
_atom_site_type_symbol
_atom_site_fract_x
_atom_site_fract_y
_atom_site_fract_z
Cr1 Cr 0.0000 0.0000 0.0000
Te1 Te 0.6667 0.3333 0.2878
Au1 Au 0.3333 0.6667 0.7112
```


No. 12
DFT (PBE) results for a relaxed structure of CrTe2Au.

Results
**Energy above the lowest structure with this stoichiometry**: 1.70 eV/f.u.
**Calculated density**: 9.71 g/cm3

Structure (CIF):
```
data_CrTe2Au
_space_group_name_H-M_alt 'P 1 2/m 1'
_space_group_IT_number 10
_space_group_name_Hall '-P 2y'
_cell_length_a 3.1734
_cell_length_b 3.2625
_cell_length_c 8.3293
_cell_angle_alpha 90.00
_cell_angle_beta 90.08
_cell_angle_gamma 90.00
loop_
_atom_site_label
_atom_site_type_symbol
_atom_site_fract_x
_atom_site_fract_y
_atom_site_fract_z
Cr1 Cr 0.0000 0.0000 0.0000
Te1 Te 0.4995 0.5000 0.8064
Au1 Au 0.5000 0.0000 0.5000
```


| no. | DFT total energy (eV/atom) | formation energy without anion corrections (eV per formula unit) |
| --- | --- | --- |
| 1 | -4.764 | 0.1 |
| 2 | -4.768 | 0.1 |
| 3 | -6.031 | 5.1 |
| 4 | -4.713 | 0.3 |
| 5 | -4.752 | 0.2 |
| 6 | -4.699 | 0.4 |
| 7 | -4.817 | -0.1 |
| 8 | -3.651 | 4.3 |
| 9 | -4.806 | 0.0 |
| 10 | -4.811 | -0.1 |
| 11 | -5.244 | 0.3 |
| 12 | -4.491 | 1.2 |